Entry 1
An optimized crystal structure of AlPd2Pb2. Source: Alexandria via LeMat-Bulk, functional PBE-GGA.

POSCAR file:
```
AlPd2Pb2
1.0
6.730 0.000 0.000
0.000 6.730 0.000
0.000 0.000 4.734
Al Pd Pb
2 4 4
direct
0.000 0.000 0.000
0.500 0.500 0.000
0.150 0.350 0.000
0.350 0.850 0.000
0.650 0.150 0.000
0.850 0.650 0.000
0.169 0.669 0.500
0.331 0.169 0.500
0.669 0.831 0.500
0.831 0.331 0.500
```

Properties
- mass density (g/cm3) = 10.13
- space group = No. 127

Entry 2
An optimized crystal structure of AlPd2Pb2. Source: Alexandria via LeMat-Bulk, functional PBE-GGA.

POSCAR file:
```
AlPd2Pb2
1.0
4.693 0.000 0.000
0.000 4.693 0.000
0.000 0.000 11.306
Al Pd Pb
2 4 4
direct
0.000 0.000 0.000
0.500 0.500 0.500
0.000 0.000 0.386
0.000 0.000 0.614
0.500 0.500 0.114
0.500 0.500 0.886
0.000 0.500 0.250
0.000 0.500 0.750
0.500 0.000 0.250
0.500 0.000 0.750
```

Properties
- mass density (g/cm3) = 8.72
- space group = No. 139

Referenced to the most stable arrangement, the calculated values in meV per atom are entry 1 0; entry 2 441.

Entry 1
An optimized crystal structure of PmAlPb. Source: Alexandria via LeMat-Bulk, functional PBE-GGA.

POSCAR file:
```
PmAlPb
1.0
2.250 1.299 10.390
-2.250 1.299 10.390
0.000 -2.598 10.390
Pm Al Pb
2 2 2
direct
0.086 0.086 0.086
0.914 0.914 0.914
0.185 0.185 0.185
0.815 0.815 0.815
0.358 0.358 0.358
0.642 0.642 0.642
```

Properties
- mass density (g/cm3) = 6.91
- space group = No. 166

Entry 2
An optimized crystal structure of PmAlPb. Source: Alexandria via LeMat-Bulk, functional PBE-GGA.

POSCAR file:
```
PmAlPb
1.0
4.573 0.000 0.000
-2.286 3.960 0.000
0.000 0.000 4.446
Pm Al Pb
1 1 1
direct
0.000 0.000 0.000
0.333 0.667 0.632
0.667 0.333 0.432
```

Properties
- mass density (g/cm3) = 7.82
- space group = No. 156

Entry 3
An optimized crystal structure of PmAlPb. Source: Alexandria via LeMat-Bulk, functional PBE-GGA.

POSCAR file:
```
PmAlPb
1.0
3.246 0.000 0.000
0.000 3.246 0.000
0.000 0.000 17.243
Pm Al Pb
2 2 2
direct
0.000 0.000 0.000
0.500 0.500 0.500
0.000 0.000 0.822
0.500 0.500 0.322
0.000 0.000 0.190
0.500 0.500 0.690
```

Properties
- mass density (g/cm3) = 6.93
- space group = No. 107

Referenced to the most stable arrangement, the calculated values in meV per atom are entry 1 251; entry 2 0; entry 3 725.

Entry 1
An optimized crystal structure of Pm4AlPb2. Source: Alexandria via LeMat-Bulk, functional PBE-GGA.

POSCAR file:
```
Pm4AlPb2
1.0
2.517 1.453 10.762
-2.517 1.453 10.762
0.000 -2.907 10.762
Pm Al Pb
4 1 2
direct
0.125 0.125 0.125
0.297 0.297 0.297
0.703 0.703 0.703
0.875 0.875 0.875
0.500 0.500 0.500
0.405 0.405 0.405
0.595 0.595 0.595
```

Properties
- mass density (g/cm3) = 7.18
- space group = No. 166

Entry 2
An optimized crystal structure of Pm4AlPb2. Source: Alexandria via LeMat-Bulk, functional PBE-GGA.

POSCAR file:
```
Pm4AlPb2
1.0
5.392 0.000 0.000
0.000 5.392 0.000
0.000 0.000 16.814
Pm Al Pb
8 2 4
direct
0.000 0.000 0.179
0.000 0.000 0.821
0.000 0.500 0.000
0.000 0.500 0.500
0.500 0.000 0.000
0.500 0.000 0.500
0.500 0.500 0.321
0.500 0.500 0.679
0.000 0.000 0.000
0.500 0.500 0.500
0.000 0.000 0.369
0.000 0.000 0.631
0.500 0.500 0.131
0.500 0.500 0.869
```

Properties
- mass density (g/cm3) = 6.94
- space group = No. 139

Referenced to the most stable arrangement, the calculated values in meV per atom are entry 1 0; entry 2 147.